# Bi2SbS4Br, relaxed, DFT PBE
data_Bi2SbS4Br
_chemical_formula_sum 'Bi2 Sb1 S4 Br1'
_cell_length_a 3.933
_cell_length_b 6.857
_cell_length_c 8.934
_cell_angle_alpha 74.75
_cell_angle_beta 77.28
_cell_angle_gamma 73.33
_space_group_name_H-M_alt 'P 1'
_space_group_IT_number 1
_space_group_name_Hall 'P 1'
loop_
_atom_site_label
_atom_site_type_symbol
_atom_site_fract_x
_atom_site_fract_y
_atom_site_fract_z
_atom_site_occupancy
Sb1 Sb 0.000 0.000 0.000 1
S1 S 0.183 0.934 0.699 1
S2 S 0.621 0.697 0.062 1
S3 S 0.817 0.066 0.301 1
S4 S 0.379 0.303 0.938 1
Bi1 Bi 0.202 0.352 0.244 1
Bi2 Bi 0.798 0.648 0.756 1
Br1 Br 0.500 0.500 0.500 1
# Magnetic moment = 0.00 μB/f.u.
# V = 220 Å³/f.u.
# Space group = C2/m, No. 12
# Formation energy from raw total energies = -361 meV/atom